# AlGa2Si2Ir5

AlGa2Si2Ir5 after structural relaxation (GGA-PBE, the Alexandria database).

Formation energy (no corrections) (eV per formula unit): -3.22
Mass density (Mg/m³): 13.189
SG: P4/mbm, No. 127

a b c (Å): 3.480 9.255 9.255
angles (deg): 90.00 90.00 90.00
Element x y z (fractional)
Ga 0.000 0.670 0.170
Ir 0.500 0.000 0.500
Ir 0.500 0.192 0.094
Ga 0.000 0.170 0.330
Ga 0.000 0.330 0.830
Si 0.000 0.132 0.632
Al 0.000 0.500 0.500
Ga 0.000 0.830 0.670
Ir 0.500 0.094 0.808
Ir 0.500 0.692 0.406
Ir 0.500 0.406 0.308
Si 0.000 0.868 0.368
Al 0.000 0.000 0.000
Ir 0.500 0.500 0.000
Ir 0.500 0.906 0.192
Ir 0.500 0.308 0.594
Ir 0.500 0.808 0.906
Si 0.000 0.368 0.132
Si 0.000 0.632 0.868
Ir 0.500 0.594 0.692

***

# Ba2LaDy3O8

Ba2LaDy3O8 after structural relaxation (GGA-PBE, the Alexandria database).

Formation energy (no corrections) (eV per formula unit): -44.52
Mass density (Mg/m³): 6.496
SG: R3m, No. 160

a b c (Å): 7.046 7.046 7.348
angles (deg): 61.35 61.35 60.00
Element x y z (fractional)
La 0.883 0.883 0.351
O 0.249 0.692 0.810
O 0.269 0.269 0.193
O 0.692 0.249 0.810
O 0.249 0.249 0.810
Ba 0.499 0.499 0.502
Dy 0.498 0.498 0.998
O 0.758 0.758 0.209
Ba 0.123 0.123 0.632
Dy 0.006 0.498 0.998
O 0.275 0.758 0.209
O 0.758 0.275 0.209
Dy 0.498 0.006 0.998
O 0.736 0.736 0.791

***

# BaCaSbI2

BaCaSbI2 after structural relaxation (GGA-PBE, the Alexandria database).

Formation energy (no corrections) (eV per formula unit): -2.48
Mass density (Mg/m³): 3.344
SG: P4/mmm, No. 123

a b c (Å): 6.419 6.419 6.665
angles (deg): 90.00 90.00 90.00
Each line ends with the local moment (μB).
Element x y z (fractional)
Ca 0.500 0.500 0.500  -0.02
Sb 0.000 0.000 0.500  0.25
I 0.500 0.000 0.000  0.02
Ba 0.000 0.000 0.000  0.03
I 0.000 0.500 0.000  0.02